Tm2AlSn | PBE | relaxed

Cell: 3.7268 3.7268 7.0339 Å, 90.00 90.00 90.00°
Closest atoms and distances in Å follow each position.
Positions (direct):
Tm1 0.0000 0.0000 0.2588  4 Al 3.13, 4 Sn 3.20, 1 Tm 3.39
Tm2 0.0000 0.0000 0.7412  4 Al 3.13, 4 Sn 3.20, 1 Tm 3.39
Al1 0.5000 0.5000 0.5000  8 Tm 3.13
Sn1 0.5000 0.5000 0.0000  8 Tm 3.20, 2 Al 3.52

Output
- N(E_F) (states/eV per cell) = 2.47
- energy (eV/atom) = -4.60
- formation energy from the elements (kJ per mole of atoms) = -41.62